Entry 1:
Entry from Alexandria: crystalline Pr2PbC at its relaxed geometry (PBE).

Cell: 9.825 9.825 9.825 Å, 21.74 21.74 21.74°
Fractional coordinates of all 4 atoms:
Pr  0.117  0.117  0.117
Pr  0.883  0.883  0.883
Pb  0.000  0.000  0.000
C  0.500  0.500  0.500

Results
Its space group is R-3m. For the total energy, the calculation gives -5.6958 eV/atom. The value obtained for the formation energy is -0.073 eV/atom. Its magnetization is 0.00 μB per formula unit.

Entry 2:
Entry from Alexandria: crystalline Pr7Pb4C at its relaxed geometry (PBE).

Cell: 8.703 8.703 11.527 Å, 123.63 123.63 35.75°
Fractional coordinates of all 12 atoms:
Pr  0.000  0.000  0.000
Pr  0.139  0.139  0.537
Pr  0.286  0.286  0.132
Pr  0.433  0.433  0.754
Pr  0.567  0.567  0.246
Pr  0.714  0.714  0.868
Pr  0.861  0.861  0.463
Pb  0.079  0.079  0.775
Pb  0.224  0.224  0.341
Pb  0.776  0.776  0.659
Pb  0.921  0.921  0.225
C  0.500  0.500  0.000

Results
Its space group is C2/m. For the total energy, the calculation gives -5.0194 eV/atom. The value obtained for the formation energy is -0.227 eV/atom. Its magnetization is 0.00 μB per formula unit.